PBE Tl2MoAs, relaxed; V = 22.70 A^3/atom; energy above the lowest structure with this stoichiometry = 629.6 meV/atom; energy of formation = 797 meV per atom; DFT total energy = -4.256 eV/atom
1.0
5.0454 0.0000 0.0000
2.5227 4.3695 0.0000
2.5227 1.4565 4.1196
As Tl Mo
1 2 1
Cartesian
5.0454 2.9130 2.0598
0.0000 0.0000 0.0000
2.5227 1.4565 1.0299
7.5681 4.3695 3.0897

***

PBE ZrCoPb4, relaxed; V = 28.56 A^3/atom; energy of formation = 835 meV per atom; DFT total energy = -4.246 eV/atom
1.0
0.0000 4.4083 4.4083
4.4083 0.0000 4.4083
4.4083 4.4083 0.0000
Zr Co Pb
1 1 4
Cartesian
6.6125 6.6125 6.6125
0.0000 0.0000 0.0000
3.3106 5.5060 5.5060
5.5060 5.5060 3.3106
5.5060 3.3106 5.5060
3.3106 3.3106 3.3106

***

PBE AlGaSn2, relaxed; V = 25.12 A^3/atom; energy above the lowest structure with this stoichiometry = 2.6 meV/atom; energy of formation = 115 meV per atom; DFT total energy = -3.579 eV/atom
1.0
-0.8616 -3.3433 -2.8082
0.3868 -4.2154 1.3735
-5.7704 -2.4863 1.2041
Al Ga Sn
1 1 2
Cartesian
-6.0844 -7.5254 0.2469
-3.1125 -5.0225 -0.1183
-4.4713 -2.4940 0.8147
-1.4700 -2.5118 -0.0850

***

PBE ErTh3Pt4, relaxed; V = 25.47 A^3/atom; energy of formation = -1214 meV per atom; DFT total energy = -7.587 eV/atom
1.0
7.1721 0.0409 0.0000
-2.4754 6.7749 0.0000
0.0000 0.0000 8.3701
Pt Th Er
8 6 2
Cartesian
6.5484 1.7279 5.2346
2.9726 1.6950 7.3440
2.9624 1.7075 3.1355
6.5586 1.7154 1.0261
-1.8620 5.1003 7.3440
1.7342 5.1083 5.2346
1.7241 5.1207 1.0261
-1.8518 5.0878 3.1355
5.3790 0.0307 3.1184
1.7930 0.0102 5.2517
4.1413 3.4181 5.2519
4.1413 3.4181 1.0384
0.5553 3.3977 3.1182
0.5553 3.3977 7.3317
5.3790 0.0307 7.3168
1.7930 0.0102 1.0532

***

PBE RbYS3, relaxed; V = 30.62 A^3/atom; energy above the lowest structure with this stoichiometry = 0.0 meV/atom; DFT total energy = -5.011 eV/atom
1.0
5.3499 0.0000 0.0000
0.0000 5.3499 0.0000
0.0000 0.0000 5.3499
Y S Rb
1 3 1
Cartesian
0.0000 0.0000 0.0000
0.0000 2.6749 0.0000
0.0000 0.0000 2.6749
2.6749 0.0000 0.0000
2.6749 2.6749 2.6749

***

PBE YMgGa2Cu4, relaxed; V = 16.47 A^3/atom; energy of formation = -237 meV per atom; DFT total energy = -4.049 eV/atom
1.0
4.2189 0.0000 0.0000
2.1095 3.6537 0.0000
2.1095 1.2179 8.5477
Y Mg Ga Cu
1 1 2 4
Cartesian
0.0000 0.0000 0.0000
4.2189 2.4358 4.2739
6.3284 3.6537 6.3528
2.1095 1.2179 2.1950
4.2189 2.4358 6.8210
6.3284 3.6537 2.9770
2.1095 1.2179 5.5707
4.2189 2.4358 1.7267